Material: CrCo2Ni
Method: DFT, PBEsol
State: optimized geometry

a = 2.434 Å, b = 3.429 Å, c = 4.915 Å
α = 90.00°, β = 90.00°, γ = 90.00°
Fractional positions:
Cr  0.000  0.000  0.000
Co  0.500  0.500  0.250
Co  0.500  0.500  0.750
Ni  0.000  0.000  0.500

Computed properties:
Magnetic moment, μB per atom: 0.141
ρ, kg/m³: 9253
E, eV per atom: -7.930
Energy relative to the elements, eV per atom: 0.038
Space-group type: No. 47